# 1
Material: Li3TlSi
Method: DFT, PBE
State: optimized geometry

Computed properties:
**Energy above the most stable polymorph in this dataset**: 0.000 eV/atom
**Electronic total energy**: -13.41 eV per cell
**Size of the total moment**: 0.0 μB/f.u.
**Formation energy from raw total energies**: 0.0232 eV/atom

Cell lengths 4.858, 4.858, 4.858 Å; angles 90.00, 90.00, 90.00 degrees
Element x y z (fractional)
Li: 0.000 0.000 0.500
Li: 0.000 0.500 0.000
Li: 0.500 0.000 0.000
Tl: 0.500 0.500 0.500
Si: 0.000 0.000 0.000

---

# 2
Material: Pr2CdO2
Method: DFT, PBE
State: optimized geometry

Computed properties:
**Electronic total energy**: -31.75 eV per cell
**Size of the total moment**: 0.0 μB/f.u.
**Formation energy from raw total energies**: -2.2717 eV/atom

Cell lengths 4.184, 4.184, 7.038 Å; angles 107.29, 107.29, 90.00 degrees
Element x y z (fractional)
O: 0.250 0.750 0.500
O: 0.750 0.250 0.500
Pr: 0.339 0.339 0.678
Pr: 0.661 0.661 0.322
Cd: 0.000 0.000 0.000

---

# 3
Material: ErThSb2N
Method: DFT, PBE
State: optimized geometry

Computed properties:
**Electronic total energy**: -67.02 eV per cell
**Size of the total moment**: 0.0 μB/f.u.
**Formation energy from raw total energies**: -0.9914 eV/atom

Cell lengths 4.156, 4.156, 14.735 Å; angles 90.00, 90.00, 90.00 degrees
Element x y z (fractional)
Sb: 0.000 0.500 0.724
Sb: 0.500 0.000 0.862
Sb: 0.000 0.500 0.138
Sb: 0.500 0.000 0.276
Th: 0.000 0.500 0.424
Th: 0.500 0.000 0.576
N: 0.000 0.000 0.500
N: 0.500 0.500 0.500
Er: 0.000 0.500 0.928
Er: 0.500 0.000 0.072

---

The lowest electronic total energy belongs to which entry? ErThSb2N

---

Which value of formation energy from raw total energies does entry 1 give? 0.0232 eV/atom